DFT (PBE-GGA) results for a relaxed structure of BeZnN2F.

```
BeZnN2F
1.0
-0.313 -1.028 -3.660
-2.499 -2.712 0.975
-2.988 2.584 -0.470
Be F N Zn
1 1 2 1
Direct
0.500 0.500 0.500 Be
0.000 0.000 0.500 F
0.000 0.500 0.000 N
0.500 0.000 0.000 N
0.000 0.000 0.000 Zn
```

symmetry	P4/mmm, No. 123
offset from the most stable computed form	81.6	kJ/mol of atoms
formation energy from raw total energies	107.72	kJ/mol of atoms